## P
This record from Alexandria describes crystalline MgMn2O at its relaxed geometry. The functional is PBE with a Hubbard U.

a = 6.0209 Å, b = 6.0209 Å, c = 6.0209 Å
α = 116.26°, β = 116.26°, γ = 96.61°
Closest atoms and distances in Å follow each position.
Fractional coordinates of all 8 atoms:
1 Mg 0.0000 0.0000 0.0000  4 Mn 3.01
2 Mg 0.7500 0.2500 0.5000  4 Mn 3.01
3 Mn 0.2444 0.6250 0.1194  2 O 2.05
4 Mn 0.3750 0.4944 0.6194  2 O 2.05
5 Mn 0.5056 0.1250 0.8806  2 O 2.05
6 Mn 0.8750 0.7556 0.3806  2 O 2.05
7 O 0.2500 0.7500 0.5000  4 Mn 2.05
8 O 0.5000 0.5000 0.0000  4 Mn 2.05

Values from the calculation:
Space-group type: I-42d (122)

## Q
This record from Alexandria describes crystalline MgMn2O at its relaxed geometry. The functional is PBE with a Hubbard U.

a = 4.5569 Å, b = 4.5569 Å, c = 4.5569 Å
α = 60.00°, β = 60.00°, γ = 60.00°
Closest atoms and distances in Å follow each position.
Fractional coordinates of all 4 atoms:
1 Mg 0.0000 0.0000 0.0000  8 Mn 2.79
2 Mn 0.2500 0.2500 0.2500  4 O 2.79, 4 Mg 2.79
3 Mn 0.7500 0.7500 0.7500  4 O 2.79, 4 Mg 2.79
4 O 0.5000 0.5000 0.5000  8 Mn 2.79

Values from the calculation:
Space-group type: Fm-3m (225)

Of them, the most stable is P and the least stable is Q.

## P
This record from Alexandria describes crystalline MgMnPO2 at its relaxed geometry. The functional is PBE with a Hubbard U.

a = 3.8132 Å, b = 3.8132 Å, c = 5.4322 Å
α = 90.00°, β = 90.00°, γ = 90.00°
Closest atoms and distances in Å follow each position.
Fractional coordinates of all 5 atoms:
1 Mg 0.0000 0.0000 0.0000  4 O 1.91
2 Mn 0.5000 0.5000 0.5000  4 P 2.70
3 P 0.0000 0.0000 0.5000  4 Mn 2.70, 2 Mg 2.72
4 O 0.0000 0.5000 0.0000  2 Mg 1.91
5 O 0.5000 0.0000 0.0000  2 Mg 1.91

Values from the calculation:
Space-group type: P4/mmm (123)

## Q
This record from Alexandria describes crystalline MgMnPO2 at its relaxed geometry. The functional is PBE with a Hubbard U.

a = 3.7331 Å, b = 3.7331 Å, c = 6.5294 Å
α = 90.00°, β = 90.00°, γ = 90.00°
Closest atoms and distances in Å follow each position.
Fractional coordinates of all 5 atoms:
1 Mg 0.0000 0.0000 0.0000  4 O 1.87
2 Mn 0.0000 0.0000 0.5000  4 P 2.64
3 P 0.5000 0.5000 0.5000  4 Mn 2.64
4 O 0.0000 0.5000 0.0000  2 Mg 1.87
5 O 0.5000 0.0000 0.0000  2 Mg 1.87

Values from the calculation:
Space-group type: P4/mmm (123)

## R
This record from Alexandria describes crystalline MgMnPO2 at its relaxed geometry. The functional is PBE with a Hubbard U.

a = 3.7492 Å, b = 3.7492 Å, c = 5.0093 Å
α = 90.00°, β = 90.00°, γ = 90.00°
Closest atoms and distances in Å follow each position.
Fractional coordinates of all 5 atoms:
1 Mg 0.0000 0.0000 0.0000  4 P 2.65
2 Mn 0.5000 0.5000 0.5000  4 O 1.87
3 P 0.5000 0.5000 0.0000  2 Mn 2.50, 4 Mg 2.65
4 O 0.0000 0.5000 0.5000  2 Mn 1.87
5 O 0.5000 0.0000 0.5000  2 Mn 1.87

Values from the calculation:
Space-group type: P4/mmm (123)

Of them, the most stable is R and the least stable is Q.